[1]
Pm3ErPb2C: optimized geometry, PBE-GGA.

a b c (Å): 8.977 8.977 8.977
angles (deg): 148.77 147.83 45.45
Fractional positions:
Pm  0.000  0.000  0.000
Pm  0.341  0.841  0.500
Pm  0.659  0.159  0.500
Er  0.500  0.500  0.000
Pb  0.140  0.640  0.500
Pb  0.860  0.360  0.500
C  0.500  0.000  0.500

Results
- crystal system = orthorhombic
- SG = Immm (71)
- formation energy (eV/atom) = -0.527

[2]
Pr2ErPbC: optimized geometry, PBE-GGA.

a b c (Å): 5.193 5.193 4.881
angles (deg): 90.00 90.00 90.00
Fractional positions:
Pr  0.000  0.500  0.000
Pr  0.500  0.000  0.000
Er  0.000  0.000  0.500
Pb  0.500  0.500  0.500
C  0.000  0.000  0.000

Results
- crystal system = tetragonal
- SG = P4/mmm (123)
- formation energy (eV/atom) = -0.417

[3]
Pr2Er2Pb2C: optimized geometry, PBE-GGA.

a b c (Å): 9.036 9.036 9.036
angles (deg): 148.94 148.94 44.51
Fractional positions:
Pr  0.159  0.159  0.000
Pr  0.841  0.841  0.000
Er  0.000  0.500  0.500
Er  0.500  0.000  0.500
Pb  0.363  0.363  0.000
Pb  0.637  0.637  0.000
C  0.000  0.000  0.000

Results
- crystal system = tetragonal
- SG = I4/mmm (139)
- formation energy (eV/atom) = -0.604

| no. | DOS(E_F) (states/eV/cell) |
| --- | --- |
| 1 | 0.9 |
| 2 | 2.2 |
| 3 | 0.4 |